The following is a DFT calculation (GGA+U) of crystalline LiCoP4O12 at its relaxed geometry.

a b c (Å): 10.5669 10.5669 5.1721
angles (deg): 99.27 99.27 71.27
Last column: nearest neighbours and their distance in Å.
Atoms (fractional coordinates):
Li 0.0933 0.0933 0.0439  2 O 1.86
Li 0.9067 0.9067 0.9561  2 O 1.86
Co 0.0000 0.5000 0.5000  6 O 1.97-2.04
Co 0.5000 0.0000 0.5000  6 O 1.97-2.04
P 0.1334 0.7080 0.3300  4 O 1.48-1.63
P 0.1937 0.4359 0.0334  4 O 1.51-1.60
P 0.2920 0.8666 0.6700  4 O 1.48-1.63
P 0.4359 0.1937 0.0334  4 O 1.51-1.60
P 0.5641 0.8063 0.9666  4 O 1.51-1.60
P 0.7080 0.1334 0.3300  4 O 1.48-1.63
P 0.8063 0.5641 0.9666  4 O 1.51-1.60
P 0.8666 0.2920 0.6700  4 O 1.48-1.63
O 0.0573 0.8218 0.1777  1 P 1.48
O 0.0602 0.6615 0.5069  1 P 1.51
O 0.1016 0.4017 0.1876  1 P 1.51
O 0.1619 0.4203 0.7368  1 P 1.51
O 0.1782 0.9427 0.8223  1 P 1.48
O 0.2106 0.5803 0.1325  2 P 1.59-1.63
O 0.2665 0.7335 0.5000  2 P 1.61
O 0.3385 0.9398 0.4931  1 P 1.51
O 0.3462 0.3462 0.1044  2 P 1.60
O 0.4017 0.1016 0.1876  1 P 1.51
O 0.4203 0.1619 0.7368  1 P 1.51
O 0.4197 0.7894 0.8675  2 P 1.59-1.63
O 0.5803 0.2106 0.1325  2 P 1.59-1.63
O 0.5797 0.8381 0.2632  1 P 1.51
O 0.5983 0.8984 0.8124  1 P 1.51
O 0.6538 0.6538 0.8956  2 P 1.60
O 0.6615 0.0602 0.5069  1 P 1.51
O 0.7335 0.2665 0.5000  2 P 1.61
O 0.7894 0.4197 0.8675  2 P 1.59-1.63
O 0.8218 0.0573 0.1777  1 P 1.48
O 0.8381 0.5797 0.2632  1 P 1.51
O 0.8984 0.5983 0.8124  1 P 1.51
O 0.9398 0.3385 0.4931  1 P 1.51
O 0.9427 0.1782 0.8223  1 P 1.48

Values from the calculation:
For the energy above the most stable polymorph in this dataset, the calculation gives 0.015 eV per atom. The calculation puts the total energy at -0.50490 Ry per atom. Its symmetry is No. 12. The calculation puts the mass density at 2.37 g cm⁻³.